First-principles (PBE) data for a relaxed Ac2PmCu9 crystal, as listed in Alexandria.

For the calculated formation energy, the calculation gives -0.895 eV per formula unit. Its calculated total energy is -4.23 eV per atom. As for the density of states at the Fermi level: 22.32 states/eV per cell.

The structure belongs to space group R-3m (No. 166, hexagonal axes); the cell edges are 5.3183, 5.3183 and 26.3126 Å and the angles 90.00°, 90.00° and 120.00°. The distinct sites, in fractional coordinates, are Ac at (0.0000, 0.0000, 0.1371), Pm at (0.0000, 0.0000, 0.0000), Cu at (0.0000, 0.0000, 0.3317), Cu at (0.0000, 0.0000, 0.5000) and Cu at (0.0060, 0.5030, 0.0764).